[1]
# Sm4SnAs2Se

Sm4SnAs2Se after structural relaxation (PBE, the Alexandria database).

Unit cell a=7.430 b=4.219 c=7.452 alpha=90.00 beta=108.99 gamma=90.00
Sites, in units of the cell vectors:
Sm1 0.240 0.000 0.236
Sm2 0.253 0.500 0.762
Sm3 0.747 0.500 0.238
Sm4 0.760 0.000 0.764
Sn1 0.500 0.500 0.500
As1 0.000 0.500 0.000
As2 0.500 0.000 0.000
Se1 0.000 0.000 0.500

Results
Its total moment is 0.0 μB per formula unit. Its uncorrected formation energy is -1.4078 eV/atom.



[2]
# TcTePO2

TcTePO2 after structural relaxation (PBE, the Alexandria database).

Unit cell a=3.951 b=3.951 c=5.461 alpha=90.00 beta=90.00 gamma=90.00
Sites, in units of the cell vectors:
Tc1 0.000 0.000 0.000
Te1 0.500 0.500 0.500
P1 0.500 0.500 0.000
O1 0.000 0.500 0.500
O2 0.500 0.000 0.500

Results
Its total moment is 4.1 μB per formula unit. Its uncorrected formation energy is 0.2616 eV/atom. The calculation puts the relative energy among the computed polymorphs at 3.969 eV/f.u.



[3]
# TaCd2Ag

TaCd2Ag after structural relaxation (PBE, the Alexandria database).

Unit cell a=5.205 b=5.205 c=2.903 alpha=90.00 beta=90.00 gamma=90.00
Sites, in units of the cell vectors:
Ta1 0.000 0.000 0.000
Cd1 0.000 0.500 0.500
Cd2 0.500 0.000 0.500
Ag1 0.500 0.500 0.000

Results
Its total moment is 0.0 μB per formula unit. The calculation puts the relative energy among the computed polymorphs at 0.822 eV/f.u. Its formation energy is 0.355 eV/atom.



[4]
# CsSrZn2F8

CsSrZn2F8 after structural relaxation (PBE, the Alexandria database).

Unit cell a=8.382 b=8.382 c=8.382 alpha=41.16 beta=41.16 gamma=41.16
Sites, in units of the cell vectors:
Cs1 0.000 0.000 0.000
Sr1 0.500 0.500 0.500
Zn1 0.251 0.251 0.251
Zn2 0.749 0.749 0.749
F1 0.084 0.771 0.468
F2 0.229 0.532 0.916
F3 0.333 0.333 0.333
F4 0.468 0.084 0.771
F5 0.532 0.916 0.229
F6 0.667 0.667 0.667
F7 0.771 0.468 0.084
F8 0.916 0.229 0.532

Results
Its total moment is 1.2 μB per formula unit. Its uncorrected formation energy is -2.5409 eV/atom.



[5]
# Tb4PrTe5

Tb4PrTe5 after structural relaxation (PBE, the Alexandria database).

Unit cell a=16.046 b=16.046 c=16.046 alpha=164.30 beta=164.30 gamma=22.28
Sites, in units of the cell vectors:
Tb1 0.095 0.095 0.000
Tb2 0.292 0.292 0.000
Tb3 0.708 0.708 0.000
Tb4 0.905 0.905 0.000
Pr1 0.500 0.500 0.000
Te1 0.000 0.000 0.000
Te2 0.195 0.195 0.000
Te3 0.395 0.395 0.000
Te4 0.605 0.605 0.000
Te5 0.805 0.805 0.000

Results
Its total moment is 0.0 μB per formula unit. Its uncorrected formation energy is -1.3331 eV/atom. The calculation puts the relative energy among the computed polymorphs at 0.050 eV/f.u.



[6]
# CsZnF3

CsZnF3 after structural relaxation (PBE, the Alexandria database).

Unit cell a=7.158 b=7.158 c=7.158 alpha=47.71 beta=47.71 gamma=47.71
Sites, in units of the cell vectors:
Cs1 0.120 0.120 0.120
Cs2 0.880 0.880 0.880
Zn1 0.336 0.336 0.336
Zn2 0.664 0.664 0.664
F1 0.063 0.569 0.569
F2 0.431 0.431 0.937
F3 0.431 0.937 0.431
F4 0.569 0.063 0.569
F5 0.569 0.569 0.063
F6 0.937 0.431 0.431

Results
Its total moment is 0.0 μB per formula unit. Its uncorrected formation energy is -2.4845 eV/atom.